Material: TcBi2O
Method: DFT, GGA-PBE
State: relaxed

Cell lengths 5.8376, 5.8376, 11.5148 Å; angles 90.00, 90.00, 90.00 degrees
With the nearest neighbours (Å) after each atom.
Fractional coordinates of all 16 atoms:
Tc1 0.0000 0.0000 0.0000  4 Bi 2.64
Tc2 0.0000 0.5000 0.2500  4 Bi 2.64
Tc3 0.5000 0.0000 0.7500  4 Bi 2.64
Tc4 0.5000 0.5000 0.5000  4 Bi 2.64
Bi1 0.2148 0.2500 0.6250  2 O 2.40, 2 Tc 2.64
Bi2 0.2500 0.7148 0.8750  2 O 2.40, 2 Tc 2.64
Bi3 0.2500 0.7852 0.3750  2 O 2.40, 2 Tc 2.64
Bi4 0.2852 0.2500 0.1250  2 O 2.40, 2 Tc 2.64
Bi5 0.7148 0.7500 0.1250  2 O 2.40, 2 Tc 2.64
Bi6 0.7500 0.2148 0.3750  2 O 2.40, 2 Tc 2.64
Bi7 0.7500 0.2852 0.8750  2 O 2.40, 2 Tc 2.64
Bi8 0.7852 0.7500 0.6250  2 O 2.40, 2 Tc 2.64
O1 0.0000 0.0000 0.5000  4 Bi 2.40
O2 0.0000 0.5000 0.7500  4 Bi 2.40
O3 0.5000 0.0000 0.2500  4 Bi 2.40
O4 0.5000 0.5000 0.0000  4 Bi 2.40

Summary:
E_form (uncorrected)	0.327	eV per atom
crystal system	tetragonal
energy	-5.44	eV per atom
total moment	0.00	μB/atom